# 1
{"formula": "Dy3Te3H2", "functional": "GGA-PBE", "state": "relaxed", "lattice": [[1.9933, -5.5494, 0.0000], [1.9933, 5.5494, 0.0000], [0.0000, 0.0000, 16.3095]], "species": ["Dy", "Dy", "Dy", "Dy", "Dy", "Dy", "Te", "Te", "Te", "Te", "Te", "Te", "H", "H", "H", "H"], "fractional_positions": [[0.1203, 0.8797, 0.7500], [0.1549, 0.8451, 0.0631], [0.1549, 0.8451, 0.4369], [0.8451, 0.1549, 0.5631], [0.8451, 0.1549, 0.9369], [0.8797, 0.1203, 0.2500], [0.1675, 0.8325, 0.2500], [0.4406, 0.5594, 0.1054], [0.4406, 0.5594, 0.3946], [0.5594, 0.4406, 0.6054], [0.5594, 0.4406, 0.8946], [0.8325, 0.1675, 0.7500], [0.2682, 0.7318, 0.5468], [0.2682, 0.7318, 0.9532], [0.7318, 0.2682, 0.0468], [0.7318, 0.2682, 0.4532]], "m_tot_mub_per_fu": 0.0, "dft_energy_ev_per_atom": -4.835, "sg": "Cmcm", "n_ef_per_ev_cell": 6.3}

# 2
{"formula": "ZrTiCu4", "functional": "GGA-PBE", "state": "relaxed", "lattice": [[0.0000, 3.5290, 3.5290], [3.5290, 0.0000, 3.5290], [3.5290, 3.5290, 0.0000]], "species": ["Zr", "Ti", "Cu", "Cu", "Cu", "Cu"], "fractional_positions": [[0.0000, 0.0000, 0.0000], [0.2500, 0.2500, 0.2500], [0.1267, 0.6244, 0.6244], [0.6244, 0.1267, 0.6244], [0.6244, 0.6244, 0.1267], [0.6244, 0.6244, 0.6244]], "m_tot_mub_per_fu": 2.4, "dft_energy_ev_per_atom": -5.521, "sg": "F-43m", "n_ef_per_ev_cell": 10.7}

# 3
{"formula": "Fe4TcAu", "functional": "GGA-PBE", "state": "relaxed", "lattice": [[0.0000, 3.3733, 3.3733], [3.3733, 0.0000, 3.3733], [3.3733, 3.3733, 0.0000]], "species": ["Fe", "Fe", "Fe", "Fe", "Tc", "Au"], "fractional_positions": [[0.1255, 0.1255, 0.1255], [0.1255, 0.1255, 0.6235], [0.1255, 0.6235, 0.1255], [0.6235, 0.1255, 0.1255], [0.5000, 0.5000, 0.5000], [0.7500, 0.7500, 0.7500]], "m_tot_mub_per_fu": 7.4, "dft_energy_ev_per_atom": -7.753, "sg": "F-43m", "n_ef_per_ev_cell": 6.7}